First-principles (GGA-PBE) data for a geometry-optimized MgGaReNi structure, as listed in OQMD via LeMat-Bulk.

Properties
Calculated volume ... 14.39 Å³ per atom
Total magnetic moment ... 0.463 μB/atom
DFT total energy ... -0.385 Ry/atom

a b c (Å): 4.334 4.334 4.334
angles (deg): 60.00 60.00 60.00
Atoms (fractional coordinates):
Ni: 0.750 0.750 0.750
Re: 0.500 0.500 0.500
Ga: 0.000 0.000 0.000
Mg: 0.250 0.250 0.250